# 1
VASP calculation (GGA-PBE) on an optimized crystal structure of LiTeP2N.

Geometry as CIF:
```
data_LiTeP2N
_space_group_name_H-M_alt 'P 1'
_space_group_IT_number 1
_cell_length_a 4.054
_cell_length_b 4.054
_cell_length_c 5.420
_cell_angle_alpha 90.00
_cell_angle_beta 90.00
_cell_angle_gamma 90.00
loop_
_space_group_symop_operation_xyz
'x,y,z'
loop_
_atom_site_label
_atom_site_type_symbol
_atom_site_fract_x
_atom_site_fract_y
_atom_site_fract_z
_atom_site_occupancy
Li1 Li 0.000 0.000 0.000 1
Te1 Te 0.000 0.000 0.500 1
P1 P 0.000 0.500 0.000 1
P2 P 0.500 0.000 0.000 1
N1 N 0.500 0.500 0.500 1
```



# 2
VASP calculation (GGA-PBE) on an optimized crystal structure of LiTe2PN.

Values from the calculation:
- E above lowest polymorph: 0.0000 eV per atom

Geometry as CIF:
```
data_LiTe2PN
_space_group_name_H-M_alt 'P 1'
_space_group_IT_number 1
_cell_length_a 5.716
_cell_length_b 5.716
_cell_length_c 3.238
_cell_angle_alpha 90.00
_cell_angle_beta 90.00
_cell_angle_gamma 90.00
loop_
_space_group_symop_operation_xyz
'x,y,z'
loop_
_atom_site_label
_atom_site_type_symbol
_atom_site_fract_x
_atom_site_fract_y
_atom_site_fract_z
_atom_site_occupancy
Li1 Li 0.000 0.000 0.000 1
Te1 Te 0.000 0.500 0.500 1
Te2 Te 0.500 0.000 0.500 1
P1 P 0.500 0.500 0.500 1
N1 N 0.500 0.500 0.000 1
```



# 3
VASP calculation (GGA-PBE) on an optimized crystal structure of LiTePN2.

Values from the calculation:
- E above lowest polymorph: 1.1302 eV per atom

Geometry as CIF:
```
data_LiTePN2
_space_group_name_H-M_alt 'P 1'
_space_group_IT_number 1
_cell_length_a 3.796
_cell_length_b 3.796
_cell_length_c 4.953
_cell_angle_alpha 90.00
_cell_angle_beta 90.00
_cell_angle_gamma 90.00
loop_
_space_group_symop_operation_xyz
'x,y,z'
loop_
_atom_site_label
_atom_site_type_symbol
_atom_site_fract_x
_atom_site_fract_y
_atom_site_fract_z
_atom_site_occupancy
Li1 Li 0.000 0.000 0.000 1
Te1 Te 0.000 0.000 0.500 1
P1 P 0.500 0.500 0.500 1
N1 N 0.000 0.500 0.000 1
N2 N 0.500 0.000 0.000 1
```



# 4
VASP calculation (GGA-PBE) on an optimized crystal structure of LiTh2PN5.

Geometry as CIF:
```
data_LiTh2PN5
_space_group_name_H-M_alt 'P 1'
_space_group_IT_number 1
_cell_length_a 7.142
_cell_length_b 7.142
_cell_length_c 10.013
_cell_angle_alpha 90.00
_cell_angle_beta 90.00
_cell_angle_gamma 153.14
loop_
_space_group_symop_operation_xyz
'x,y,z'
loop_
_atom_site_label
_atom_site_type_symbol
_atom_site_fract_x
_atom_site_fract_y
_atom_site_fract_z
_atom_site_occupancy
Li1 Li 0.202 0.798 0.500 1
Li2 Li 0.798 0.202 0.000 1
Th1 Th 0.122 0.878 0.155 1
Th2 Th 0.142 0.858 0.800 1
Th3 Th 0.858 0.142 0.300 1
Th4 Th 0.878 0.122 0.655 1
P1 P 0.440 0.560 0.909 1
P2 P 0.560 0.440 0.409 1
N1 N 0.032 0.968 0.489 1
N2 N 0.292 0.708 0.172 1
N3 N 0.329 0.671 0.859 1
N4 N 0.350 0.650 0.493 1
N5 N 0.496 0.504 0.271 1
N6 N 0.504 0.496 0.771 1
N7 N 0.650 0.350 0.993 1
N8 N 0.671 0.329 0.359 1
N9 N 0.708 0.292 0.672 1
N10 N 0.968 0.032 0.989 1
```



# 5
VASP calculation (GGA-PBE) on an optimized crystal structure of Li2ThPN4.

Geometry as CIF:
```
data_Li2ThPN4
_space_group_name_H-M_alt 'P 1'
_space_group_IT_number 1
_cell_length_a 5.270
_cell_length_b 5.270
_cell_length_c 6.434
_cell_angle_alpha 90.00
_cell_angle_beta 90.00
_cell_angle_gamma 90.00
loop_
_space_group_symop_operation_xyz
'x,y,z'
loop_
_atom_site_label
_atom_site_type_symbol
_atom_site_fract_x
_atom_site_fract_y
_atom_site_fract_z
_atom_site_occupancy
Li1 Li 0.000 0.500 0.250 1
Li2 Li 0.000 0.500 0.750 1
Li3 Li 0.500 0.000 0.250 1
Li4 Li 0.500 0.000 0.750 1
Th1 Th 0.000 0.000 0.000 1
Th2 Th 0.500 0.500 0.500 1
P1 P 0.000 0.000 0.500 1
P2 P 0.500 0.500 0.000 1
N1 N 0.185 0.185 0.357 1
N2 N 0.185 0.815 0.643 1
N3 N 0.315 0.315 0.857 1
N4 N 0.315 0.685 0.143 1
N5 N 0.685 0.315 0.143 1
N6 N 0.685 0.685 0.857 1
N7 N 0.815 0.185 0.643 1
N8 N 0.815 0.815 0.357 1
```



# 6
VASP calculation (GGA-PBE) on an optimized crystal structure of LiThPN3.

Geometry as CIF:
```
data_LiThPN3
_space_group_name_H-M_alt 'P 1'
_space_group_IT_number 1
_cell_length_a 6.503
_cell_length_b 3.656
_cell_length_c 7.238
_cell_angle_alpha 90.00
_cell_angle_beta 92.70
_cell_angle_gamma 90.00
loop_
_space_group_symop_operation_xyz
'x,y,z'
loop_
_atom_site_label
_atom_site_type_symbol
_atom_site_fract_x
_atom_site_fract_y
_atom_site_fract_z
_atom_site_occupancy
Li1 Li 0.101 0.250 0.396 1
Li2 Li 0.899 0.750 0.604 1
Th1 Th 0.414 0.750 0.693 1
Th2 Th 0.586 0.250 0.307 1
P1 P 0.106 0.250 0.902 1
P2 P 0.894 0.750 0.098 1
N1 N 0.111 0.750 0.977 1
N2 N 0.119 0.250 0.680 1
N3 N 0.387 0.750 0.381 1
N4 N 0.613 0.250 0.619 1
N5 N 0.881 0.750 0.320 1
N6 N 0.889 0.250 0.023 1
```



# 7
VASP calculation (GGA-PBE) on an optimized crystal structure of LiThPN.

Geometry as CIF:
```
data_LiThPN
_space_group_name_H-M_alt 'P 1'
_space_group_IT_number 1
_cell_length_a 4.068
_cell_length_b 4.068
_cell_length_c 8.408
_cell_angle_alpha 90.00
_cell_angle_beta 90.00
_cell_angle_gamma 90.00
loop_
_space_group_symop_operation_xyz
'x,y,z'
loop_
_atom_site_label
_atom_site_type_symbol
_atom_site_fract_x
_atom_site_fract_y
_atom_site_fract_z
_atom_site_occupancy
Li1 Li 0.250 0.750 0.000 1
Li2 Li 0.750 0.250 0.000 1
Th1 Th 0.250 0.250 0.357 1
Th2 Th 0.750 0.750 0.643 1
P1 P 0.250 0.250 0.829 1
P2 P 0.750 0.750 0.171 1
N1 N 0.250 0.750 0.500 1
N2 N 0.750 0.250 0.500 1
```



# 8
VASP calculation (GGA-PBE) on an optimized crystal structure of LiTh2P2N6.

Geometry as CIF:
```
data_LiTh2P2N6
_space_group_name_H-M_alt 'P 1'
_space_group_IT_number 1
_cell_length_a 6.325
_cell_length_b 6.325
_cell_length_c 6.325
_cell_angle_alpha 50.87
_cell_angle_beta 50.87
_cell_angle_gamma 50.87
loop_
_space_group_symop_operation_xyz
'x,y,z'
loop_
_atom_site_label
_atom_site_type_symbol
_atom_site_fract_x
_atom_site_fract_y
_atom_site_fract_z
_atom_site_occupancy
Li1 Li 0.000 0.000 0.000 1
Th1 Th 0.217 0.217 0.217 1
Th2 Th 0.783 0.783 0.783 1
P1 P 0.413 0.413 0.413 1
P2 P 0.587 0.587 0.587 1
N1 N 0.239 0.741 0.741 1
N2 N 0.259 0.259 0.761 1
N3 N 0.259 0.761 0.259 1
N4 N 0.741 0.239 0.741 1
N5 N 0.741 0.741 0.239 1
N6 N 0.761 0.259 0.259 1
```



Calculated uncorrected formation energy (kJ per mole of atoms), listed in the same order as above: 153.8 15.9 175.0 -80.3 -84.3 -60.1 -104.6 -72.8